Record 1
A plane-wave DFT calculation with PBE was carried out for an optimized crystal structure of RbZr3Bi.

E above lowest polymorph in meV per atom: 714
Energy of formation from the pure elements in kcal/mol of atoms: 42.61

Lattice parameters (Å, degrees): 5.1295 5.1295 5.1295 90.00 90.00 90.00
Last column: nearest neighbours and their distance in Å.
Element x y z (fractional)
Rb (0.0000, 0.0000, 0.0000)  6 Zr 2.56
Zr (0.0000, 0.0000, 0.5000)  2 Rb 2.56
Zr (0.0000, 0.5000, 0.0000)  2 Rb 2.56
Zr (0.5000, 0.0000, 0.0000)  2 Rb 2.56
Bi (0.5000, 0.5000, 0.5000)  12 Zr 3.63

=====

Record 2
A plane-wave DFT calculation with PBE was carried out for an optimized crystal structure of SrInW2N.

Formation energy from raw total energies in eV/atom: 4.14

Lattice parameters (Å, degrees): 4.8901 4.8901 5.6437 90.00 90.00 90.00
Last column: nearest neighbours and their distance in Å.
Element x y z (fractional)
Sr (0.0000, 0.0000, 0.0000)  4 W 2.45
In (0.0000, 0.0000, 0.5000)  2 Sr 2.82
W (0.0000, 0.5000, 0.0000)  2 Sr 2.45
W (0.5000, 0.0000, 0.0000)  2 Sr 2.45
N (0.5000, 0.5000, 0.5000)  4 In 3.46, 8 W 3.73

=====

Record 3
A plane-wave DFT calculation with PBE was carried out for an optimized crystal structure of Ta6MnRu.

Energy of formation from the pure elements in kcal/mol of atoms: -4.16

Lattice parameters (Å, degrees): 7.2839 7.2839 7.2839 143.82 143.82 52.09
Last column: nearest neighbours and their distance in Å.
Element x y z (fractional)
Ta (0.1189, 0.6189, 0.5000)  2 Ru 2.75, 2 Mn 2.75, 4 Ta 2.83-2.85
Ta (0.2486, 0.2486, 0.0000)  8 Ta 2.83-2.85
Ta (0.3811, 0.8811, 0.5000)  2 Ru 2.75, 2 Mn 2.75, 4 Ta 2.83-2.85
Ta (0.6189, 0.1189, 0.5000)  2 Ru 2.75, 2 Mn 2.75, 4 Ta 2.83-2.85
Ta (0.7514, 0.7514, 0.0000)  8 Ta 2.83-2.85
Ta (0.8811, 0.3811, 0.5000)  2 Ru 2.75, 2 Mn 2.75, 4 Ta 2.83-2.85
Mn (0.0000, 0.0000, 0.0000)  8 Ta 2.75
Ru (0.5000, 0.5000, 0.0000)  8 Ta 2.75

=====

Record 4
A plane-wave DFT calculation with PBE was carried out for an optimized crystal structure of Mg2SnPO.

Formation energy from raw total energies in eV/atom: 0.29

Lattice parameters (Å, degrees): 4.7230 4.7230 5.2979 90.00 90.00 90.00
Last column: nearest neighbours and their distance in Å.
Element x y z (fractional)
Mg (0.0000, 0.5000, 0.0000)  2 P 2.36
Mg (0.5000, 0.0000, 0.0000)  2 P 2.36
Sn (0.0000, 0.0000, 0.5000)  2 P 2.65
P (0.0000, 0.0000, 0.0000)  4 Mg 2.36
O (0.5000, 0.5000, 0.5000)  4 Sn 3.34, 8 Mg 3.55